(1)
Material: RbMo3W
Method: DFT, GGA-PBE
State: relaxed

The structure belongs to space group Pm-3m (No. 221); the cell edges are 4.592, 4.592 and 4.592 Å and the angles 90.00°, 90.00° and 90.00°. The distinct sites, in fractional coordinates, are Rb at (0.000, 0.000, 0.000), Mo at (0.000, 0.000, 0.500) and W at (0.500, 0.500, 0.500).

The calculation puts the density of states at the Fermi level at 4.4 states/eV per cell. The formation enthalpy at 0 K comes out at 3457 meV per atom. The size of the total moment comes out at 0.000 μB/atom. The density comes out at 9.55 g/cm3. The energy relative to the lowest polymorph listed for this composition is 1.472 eV per atom. As for the total energy: -29.13 eV per formula unit.

(2)
Material: Nd2ScAg4
Method: DFT, GGA-PBE
State: relaxed

The structure belongs to space group R-3m (No. 166, hexagonal axes); the cell edges are 5.0336, 5.0336 and 25.3081 Å and the angles 90.00°, 90.00° and 120.00°. The distinct sites, in fractional coordinates, are Nd at (0.0000, 0.0000, 0.2446), Sc at (0.0000, 0.0000, 0.0000), Ag at (0.0000, 0.0000, 0.1207) and Ag at (0.0000, 0.0000, 0.3633).

The calculation puts the density of states at the Fermi level at 16.4 states/eV per cell. The formation enthalpy at 0 K comes out at -79 meV per atom. The size of the total moment comes out at 0.000 μB/atom. The density comes out at 6.86 g/cm3. As for the total energy: -27.83 eV per formula unit.

(3)
Material: Mg6BiPb3
Method: DFT, GGA-PBE
State: relaxed

The structure belongs to space group P2_1/m (No. 11); the cell edges are 11.053, 4.646 and 11.491 Å and the angles 90.00°, 115.22° and 90.00°. The distinct sites, in fractional coordinates, are Mg at (0.033, 0.250, 0.426), Mg at (0.107, 0.750, 0.174), Mg at (0.167, 0.250, 0.743), Mg at (0.310, 0.250, 0.100), Mg at (0.390, 0.750, 0.917), Mg at (0.449, 0.750, 0.405), Bi at (0.114, 0.750, 0.906), Pb at (0.261, 0.750, 0.579), Pb at (0.263, 0.250, 0.349) and Pb at (0.464, 0.250, 0.797).

The calculation puts the density of states at the Fermi level at 7.1 states/eV per cell. The formation enthalpy at 0 K comes out at -45 meV per atom. The size of the total moment comes out at 0.000 μB/atom. The density comes out at 6.07 g/cm3. As for the total energy: -25.02 eV per formula unit.

(4)
Material: NdTm2Zn6
Method: DFT, GGA-PBE
State: relaxed

The structure belongs to space group P6/mmm (No. 191); the cell edges are 7.7793, 7.7793 and 3.4947 Å and the angles 90.00°, 90.00° and 120.00°. The distinct sites, in fractional coordinates, are Nd at (0.0000, 0.0000, 0.0000), Tm at (0.3333, 0.6667, 0.0000) and Zn at (0.0000, 0.3374, 0.5000).

The calculation puts the density of states at the Fermi level at 6.8 states/eV per cell. The formation enthalpy at 0 K comes out at -360 meV per atom. The size of the total moment comes out at 0.000 μB/atom. The density comes out at 7.93 g/cm3. As for the total energy: -24.59 eV per formula unit.

(5)
Material: BaPuTlSn
Method: DFT, GGA-PBE
State: relaxed

The structure belongs to space group F-43m (No. 216); the cell edges are 8.105, 8.105 and 8.105 Å and the angles 90.00°, 90.00° and 90.00°. The distinct sites, in fractional coordinates, are Ba at (0.000, 0.000, 0.000), Pu at (0.000, 0.000, 0.500), Tl at (0.250, 0.250, 0.250) and Sn at (0.250, 0.250, 0.750).

The calculation puts the density of states at the Fermi level at 58.8 states/eV per cell. The formation enthalpy at 0 K comes out at -191 meV per atom. The size of the total moment comes out at 1.523 μB/atom. The density comes out at 8.79 g/cm3. As for the total energy: -23.39 eV per formula unit.

(6)
Material: BaSr2LaIn
Method: DFT, GGA-PBE
State: relaxed

The structure belongs to space group P4/mmm (No. 123); the cell edges are 6.451, 6.451 and 6.302 Å and the angles 90.00°, 90.00° and 90.00°. The distinct sites, in fractional coordinates, are Ba at (0.000, 0.000, 0.000), Sr at (0.000, 0.500, 0.500), La at (0.500, 0.500, 0.000) and In at (0.500, 0.500, 0.500).

The calculation puts the density of states at the Fermi level at 9.5 states/eV per cell. The formation enthalpy at 0 K comes out at 46 meV per atom. The size of the total moment comes out at 0.000 μB/atom. The density comes out at 3.59 g/cm3. As for the total energy: -12.72 eV per formula unit.

(7)
Material: Ti4ZnCu3O12
Method: DFT, GGA-PBE
State: relaxed

The structure belongs to space group Im-3 (No. 204); the cell edges are 7.426, 7.426 and 7.426 Å and the angles 90.00°, 90.00° and 90.00°. The distinct sites, in fractional coordinates, are Ti at (0.250, 0.250, 0.250), Zn at (0.000, 0.000, 0.000), Cu at (0.000, 0.000, 0.500) and O at (0.000, 0.176, 0.303).

The calculation puts the density of states at the Fermi level at 4.1 states/eV per cell. The size of the total moment comes out at 0.149 μB/atom. The density comes out at 5.19 g/cm3. As for the total energy: -144.74 eV per formula unit. The raw formation energy comes out at -2.005 eV/atom.

(8)
Material: In3AsRu
Method: DFT, GGA-PBE
State: relaxed

The structure belongs to space group Pm-3m (No. 221); the cell edges are 5.268, 5.268 and 5.268 Å and the angles 90.00°, 90.00° and 90.00°. The distinct sites, in fractional coordinates, are In at (0.000, 0.000, 0.500), As at (0.000, 0.000, 0.000) and Ru at (0.500, 0.500, 0.500).

The calculation puts the density of states at the Fermi level at 5.6 states/eV per cell. The formation enthalpy at 0 K comes out at 1103 meV per atom. The size of the total moment comes out at 0.409 μB/atom. The density comes out at 5.91 g/cm3. The energy relative to the lowest polymorph listed for this composition is 0.701 eV per atom. As for the total energy: -16.63 eV per formula unit.

(9)
Material: Nb2BiTePt
Method: DFT, GGA-PBE
State: relaxed

The structure belongs to space group P4/mmm (No. 123); the cell edges are 5.296, 5.296 and 5.613 Å and the angles 90.00°, 90.00° and 90.00°. The distinct sites, in fractional coordinates, are Nb at (0.000, 0.500, 0.000), Bi at (0.000, 0.000, 0.000), Te at (0.000, 0.000, 0.500) and Pt at (0.500, 0.500, 0.500).

The calculation puts the density of states at the Fermi level at 7.2 states/eV per cell. The size of the total moment comes out at 0.822 μB/atom. The density comes out at 7.57 g/cm3. As for the total energy: -22.96 eV per formula unit. The raw formation energy comes out at 2.049 eV/atom.

What is the formula in the fifth record?
BaPuTlSn

Which of these has the highest size of the total moment?
BaPuTlSn